# 1
The following is a PBE calculation of crystalline Sc2NbGaN at its relaxed geometry, from the Alexandria database.

## Properties
SG: No. 123
Electronic total energy (eV/atom): -7.72
Formation energy from raw total energies (eV/atom): -0.905
Mass density (g cm⁻³): 5.41

```
Sc2NbGaN
1.0
4.403 0.000 0.000
0.000 4.403 0.000
0.000 0.000 4.219
Sc Nb Ga N
2 1 1 1
Cartesian
0.000 2.202 0.000
2.202 0.000 0.000
0.000 0.000 2.110
2.202 2.202 2.110
0.000 0.000 0.000
```

***

# 2
The following is a PBE calculation of crystalline TcS at its relaxed geometry, from the Alexandria database.

## Properties
SG: No. 12
Electronic total energy (eV/atom): -7.64
Formation energy from raw total energies (eV/atom): -0.388
Mass density (g cm⁻³): 5.95

```
TcS
1.0
2.612 -1.507 0.000
2.612 1.507 0.000
-1.686 0.000 9.224
Tc S
2 2
Cartesian
0.027 0.000 3.540
3.511 0.000 5.685
0.028 0.000 7.248
3.510 0.000 1.976
```

***

# 3
The following is a PBE calculation of crystalline PuZrAu2 at its relaxed geometry, from the Alexandria database.

## Properties
SG: No. 166
Electronic total energy (eV/atom): -7.57
ΔH_f (0 K) (eV/atom): -0.21
Mass density (g cm⁻³): 12.57

```
PuZrAu2
1.0
1.842 1.063 8.197
-1.842 1.063 8.197
0.000 -2.127 8.197
Pu Zr Au
1 1 2
Cartesian
0.000 0.000 0.000
0.000 0.000 12.295
0.000 0.000 5.949
0.000 0.000 18.642
```

***

# 4
The following is a PBE calculation of crystalline LaZr2Ni at its relaxed geometry, from the Alexandria database.

## Properties
SG: No. 216
Electronic total energy (eV/atom): -6.73
ΔH_f (0 K) (eV/atom): 0.22
Mass density (g cm⁻³): 7.13

```
LaZr2Ni
1.0
0.000 3.537 3.537
3.537 0.000 3.537
3.537 3.537 0.000
La Zr Ni
1 2 1
Cartesian
0.000 0.000 0.000
3.537 3.537 3.537
5.305 5.305 5.305
1.768 1.768 1.768
```

***

# 5
The following is a PBE calculation of crystalline Ac2TbMg at its relaxed geometry, from the Alexandria database.

## Properties
SG: No. 160
Electronic total energy (eV/atom): -3.52
ΔH_f (0 K) (eV/atom): 0.09
Mass density (g cm⁻³): 7.05

```
Ac2TbMg
1.0
1.915 1.105 11.817
-1.915 1.105 11.817
0.000 -2.211 11.817
Ac Tb Mg
2 1 1
Cartesian
0.000 0.000 0.000
0.000 0.000 6.041
0.000 0.000 14.826
0.000 0.000 20.753
```

***

# 6
The following is a PBE calculation of crystalline NaCr2TeRh at its relaxed geometry, from the Alexandria database.

## Properties
SG: No. 123
Electronic total energy (eV/atom): -5.04
Formation energy from raw total energies (eV/atom): 1.173
Mass density (g cm⁻³): 4.23

```
NaCr2TeRh
1.0
5.112 0.000 0.000
0.000 5.112 0.000
0.000 0.000 5.368
Na Cr Te Rh
1 2 1 1
Cartesian
0.000 0.000 0.000
0.000 2.556 2.684
2.556 0.000 2.684
0.000 0.000 2.684
2.556 2.556 0.000
```

***

# 7
The following is a PBE calculation of crystalline ErTmNiAu at its relaxed geometry, from the Alexandria database.

## Properties
SG: No. 216
Electronic total energy (eV/atom): -5.15
ΔH_f (0 K) (eV/atom): -0.63
Mass density (g cm⁻³): 11.83

```
ErTmNiAu
1.0
0.000 3.463 3.463
3.463 0.000 3.463
3.463 3.463 0.000
Er Tm Ni Au
1 1 1 1
Cartesian
0.000 0.000 0.000
3.463 3.463 3.463
1.732 1.732 1.732
5.195 5.195 5.195
```

***

# 8
The following is a PBE calculation of crystalline Re4Ir at its relaxed geometry, from the Alexandria database.

## Properties
SG: No. 221
Electronic total energy (eV/atom): -9.13
ΔH_f (0 K) (eV/atom): 2.60
Mass density (g cm⁻³): 15.65

```
Re4Ir
1.0
4.633 0.000 0.000
0.000 4.633 0.000
0.000 0.000 4.633
Re Ir
4 1
Cartesian
0.000 0.000 0.000
0.000 2.316 2.316
2.316 0.000 2.316
2.316 2.316 0.000
2.316 2.316 2.316
```

***

# 9
The following is a PBE calculation of crystalline Sm7Tm12Th at its relaxed geometry, from the Alexandria database.

## Properties
SG: No. 148
Electronic total energy (eV/atom): -4.47
ΔH_f (0 K) (eV/atom): 0.24
Mass density (g cm⁻³): 8.41

```
Sm7Tm12Th
1.0
6.079 3.510 5.107
-6.079 3.510 5.107
0.000 -7.020 5.107
Sm Tm Th
7 12 1
Cartesian
0.000 0.000 0.000
-2.041 -0.372 4.670
1.343 -1.582 4.670
0.699 1.954 4.670
-0.699 -1.954 10.652
-1.343 1.582 10.652
2.041 0.372 10.652
-0.707 -4.117 3.915
-3.212 2.671 3.915
-3.297 -1.062 8.203
-0.729 -3.386 7.119
-3.919 -1.446 11.407
-2.568 2.324 7.119
2.568 -2.324 8.203
3.919 1.446 3.915
0.729 3.386 8.203
3.297 1.062 7.119
3.212 -2.671 11.407
0.707 4.117 11.407
0.000 0.000 7.661
```

***

# 10
The following is a PBE calculation of crystalline Ho6Tc2Au at its relaxed geometry, from the Alexandria database.

## Properties
SG: No. 71
Electronic total energy (eV/atom): -5.96
ΔH_f (0 K) (eV/atom): -0.24
Mass density (g cm⁻³): 10.18

```
Ho6Tc2Au
1.0
-4.715 4.752 5.033
4.715 -4.752 5.033
4.715 4.752 -5.033
Ho Tc Au
12 4 2
Cartesian
4.715 -2.778 3.215
2.801 0.000 2.361
6.628 0.000 2.361
2.962 2.651 0.000
6.467 2.651 0.000
0.000 1.974 1.818
4.715 2.778 3.215
-1.752 2.101 5.033
1.752 2.101 5.033
-1.914 4.752 2.671
1.914 4.752 2.671
0.000 7.530 1.818
1.250 0.000 0.000
8.179 0.000 0.000
0.000 0.000 3.839
0.000 0.000 6.226
4.715 0.000 0.000
0.000 4.752 0.000
```

***

# 11
The following is a PBE calculation of crystalline CsCeI2Br6 at its relaxed geometry, from the Alexandria database.

## Properties
SG: No. 1
Electronic total energy (eV/atom): -3.09
Formation energy from raw total energies (eV/atom): -1.093
Mass density (g cm⁻³): 3.53

```
CsCeI2Br6
1.0
7.659 0.000 0.000
-3.051 7.924 0.000
-3.777 -1.884 7.797
Cs Ce I Br
1 1 2 6
Cartesian
0.000 0.000 0.000
4.226 3.020 3.931
-0.599 -0.581 5.634
1.400 6.625 2.233
-1.303 2.593 2.196
-2.489 1.399 6.202
-1.868 5.262 5.107
2.651 0.712 2.788
3.275 4.704 1.637
1.946 3.480 5.449
```

***

# 12
The following is a PBE calculation of crystalline K4H12I at its relaxed geometry, from the Alexandria database.

## Properties
SG: No. 204
Electronic total energy (eV/atom): -2.77
Mass density (g cm⁻³): 1.19

```
K4H12I
1.0
-4.689 4.689 4.689
4.689 -4.689 4.689
4.689 4.689 -4.689
K H I
4 12 1
Cartesian
2.345 2.345 -2.345
2.345 -2.345 2.345
-2.345 2.345 2.345
2.345 2.345 2.345
4.302 1.248 0.000
5.076 1.248 0.000
4.689 -0.387 3.441
4.689 0.387 3.441
3.441 4.689 -0.387
1.248 0.000 4.302
3.441 4.689 0.387
1.248 0.000 5.076
0.000 4.302 1.248
0.000 5.076 1.248
-0.387 3.441 4.689
0.387 3.441 4.689
0.000 0.000 0.000
```

***

# 13
The following is a PBE calculation of crystalline ScZn4 at its relaxed geometry, from the Alexandria database.

## Properties
SG: No. 217
Electronic total energy (eV/atom): -2.43
ΔH_f (0 K) (eV/atom): -0.15
Mass density (g cm⁻³): 6.01

```
ScZn4
1.0
-4.391 4.391 4.391
4.391 -4.391 4.391
4.391 4.391 -4.391
Sc Zn
4 16
Cartesian
1.874 1.874 -1.874
1.874 -1.874 1.874
-1.874 1.874 1.874
2.517 2.517 2.517
3.459 3.459 -3.459
3.063 0.000 0.000
5.718 0.000 0.000
3.459 -3.459 3.459
0.931 0.931 0.931
4.391 2.195 0.000
4.391 0.000 2.195
0.000 3.063 0.000
0.000 0.000 3.063
2.195 4.391 0.000
2.195 0.000 4.391
0.000 5.718 0.000
0.000 0.000 5.718
0.000 4.391 2.195
0.000 2.195 4.391
-3.459 3.459 3.459
```

***

# 14
The following is a PBE calculation of crystalline LaPu2O6 at its relaxed geometry, from the Alexandria database.

## Properties
SG: No. 164
Electronic total energy (eV/atom): -10.19
Formation energy from raw total energies (eV/atom): -3.151
Mass density (g cm⁻³): 9.80

```
LaPu2O6
1.0
3.890 0.000 0.000
-1.945 3.369 0.000
0.000 0.000 9.342
La Pu O
1 2 6
Cartesian
0.000 0.000 0.000
0.000 2.246 6.169
1.945 1.123 3.173
0.000 0.000 2.588
0.000 0.000 6.754
0.000 2.246 3.928
0.000 2.246 8.337
1.945 1.123 1.005
1.945 1.123 5.414
```

***

# 15
The following is a PBE calculation of crystalline La2Zr2Ge2H at its relaxed geometry, from the Alexandria database.

## Properties
SG: No. 139
Electronic total energy (eV/atom): -6.35
Mass density (g cm⁻³): 6.50

```
La2Zr2Ge2H
1.0
-2.153 2.153 8.348
2.153 -2.153 8.348
2.153 2.153 -8.348
La Zr Ge H
2 2 2 1
Cartesian
0.000 0.000 2.992
0.000 0.000 13.704
2.153 0.000 0.000
0.000 2.153 0.000
0.000 0.000 6.350
0.000 0.000 10.346
0.000 0.000 0.000
```

***

# 16
The following is a PBE calculation of crystalline Rb3Re at its relaxed geometry, from the Alexandria database.

## Properties
SG: No. 139
Electronic total energy (eV/atom): -2.29
ΔH_f (0 K) (eV/atom): 1.55
Mass density (g cm⁻³): 3.75

```
Rb3Re
1.0
-3.041 3.041 5.296
3.041 -3.041 5.296
3.041 3.041 -5.296
Rb Re
3 1
Cartesian
0.000 0.000 0.000
3.041 0.000 2.648
0.000 3.041 2.648
0.000 0.000 5.296
```

***

# 17
The following is a PBE calculation of crystalline MgZnInCl5 at its relaxed geometry, from the Alexandria database.

## Properties
SG: No. 15
Electronic total energy (eV/atom): -3.17
Formation energy from raw total energies (eV/atom): -1.314
Mass density (g cm⁻³): 2.92

```
MgZnInCl5
1.0
4.396 -5.778 0.000
4.396 5.778 0.000
-3.649 0.000 8.535
Mg Zn In Cl
2 2 2 10
Cartesian
0.000 0.000 0.000
-1.825 0.000 4.268
1.659 2.158 6.402
3.484 -2.158 2.134
3.484 1.892 2.134
1.659 -1.892 6.402
3.484 4.992 2.134
0.192 3.439 7.628
0.604 0.813 4.854
3.127 3.439 5.175
2.429 -0.813 0.586
2.714 0.813 7.949
2.016 -3.439 3.360
4.539 -0.813 3.682
4.951 -3.439 0.908
1.659 -4.992 6.402
```

***

# 18
The following is a PBE calculation of crystalline Tb12TmNi6 at its relaxed geometry, from the Alexandria database.

## Properties
SG: No. 204
Electronic total energy (eV/atom): -5.22
ΔH_f (0 K) (eV/atom): -0.23
Mass density (g cm⁻³): 8.39

```
Tb12TmNi6
1.0
-4.934 4.934 4.934
4.934 -4.934 4.934
4.934 4.934 -4.934
Tb Tm Ni
12 1 6
Cartesian
4.934 -1.867 3.115
3.067 1.819 0.000
6.800 1.819 0.000
3.115 4.934 -1.867
1.819 0.000 3.067
0.000 3.067 1.819
4.934 1.867 3.115
3.115 4.934 1.867
1.819 0.000 6.800
-1.867 3.115 4.934
1.867 3.115 4.934
0.000 6.800 1.819
0.000 0.000 0.000
4.934 0.000 1.216
4.934 3.717 0.000
1.216 4.934 0.000
3.717 0.000 4.934
0.000 1.216 4.934
0.000 4.934 3.717
```